(1)
A plane-wave DFT calculation with GGA-PBE was carried out for an optimized crystal structure of K2ScAgI6.

Lattice parameters (Å, degrees): 8.8755 8.8755 8.8755 55.90 55.90 55.90
With the nearest neighbours (Å) after each atom.
Atoms (fractional coordinates):
K (0.0000, 0.0000, 0.0000)  6 I 3.54-3.55
K (0.4877, 0.4877, 0.4877)  6 I 3.53-3.66
Sc (0.7052, 0.7052, 0.7052)  6 I 2.81-3.06
Ag (0.2878, 0.2878, 0.2878)  3 I 2.78
I (0.0260, 0.4571, 0.8283)  1 Sc 2.81
I (0.3676, 0.9138, 0.5634)  1 Ag 2.78, 1 Sc 3.06
I (0.4571, 0.8283, 0.0260)  1 Sc 2.81
I (0.5634, 0.3676, 0.9138)  1 Ag 2.78, 1 Sc 3.06
I (0.8283, 0.0260, 0.4571)  1 Sc 2.81
I (0.9138, 0.5634, 0.3676)  1 Ag 2.78, 1 Sc 3.06

Results
- crystal system = trigonal
- ΔE to the lowest computed polymorph (meV per atom) = 0
- size of the total moment (μB per cell) = 0.00
- total DFT energy (no corrections) (eV/cell) = -31.83
- energy relative to the elements, uncorrected (eV per atom) = -1.12

(2)
A plane-wave DFT calculation with GGA-PBE was carried out for an optimized crystal structure of NpCdRh4.

Lattice parameters (Å, degrees): 9.3214 3.6980 6.1547 90.00 110.01 90.00
With the nearest neighbours (Å) after each atom.
Atoms (fractional coordinates):
Np (0.0000, 0.0000, 0.0000)  10 Rh 2.76-2.97, 2 Cd 3.08
Np (0.5000, 0.5000, 0.0000)  10 Rh 2.76-2.97, 2 Cd 3.08
Cd (0.0000, 0.0000, 0.5000)  10 Rh 2.80-2.95, 2 Np 3.08
Cd (0.5000, 0.5000, 0.5000)  10 Rh 2.80-2.95, 2 Np 3.08
Rh (0.1614, 0.5000, 0.8363)  3 Np 2.78-2.97, 2 Cd 2.80, 6 Rh 2.82-2.98
Rh (0.1634, 0.5000, 0.3215)  2 Np 2.76, 3 Cd 2.84-2.95, 6 Rh 2.85-2.98
Rh (0.3366, 0.0000, 0.6785)  2 Np 2.76, 3 Cd 2.84-2.95, 6 Rh 2.85-2.98
Rh (0.3386, 0.0000, 0.1637)  3 Np 2.78-2.97, 2 Cd 2.80, 6 Rh 2.82-2.98
Rh (0.6614, 0.0000, 0.8363)  3 Np 2.78-2.97, 2 Cd 2.80, 6 Rh 2.82-2.98
Rh (0.6634, 0.0000, 0.3215)  2 Np 2.76, 3 Cd 2.84-2.95, 6 Rh 2.85-2.98
Rh (0.8366, 0.5000, 0.6785)  2 Np 2.76, 3 Cd 2.84-2.95, 6 Rh 2.85-2.98
Rh (0.8386, 0.5000, 0.1637)  3 Np 2.78-2.97, 2 Cd 2.80, 6 Rh 2.82-2.98

Results
- crystal system = monoclinic
- size of the total moment (μB per cell) = 2.48
- ΔH_f (0 K) (eV per atom) = -0.155
- total DFT energy (no corrections) (eV/cell) = -88.38

(3)
A plane-wave DFT calculation with GGA-PBE was carried out for an optimized crystal structure of CaTa.

Lattice parameters (Å, degrees): 3.0363 3.0363 10.8187 90.00 90.00 90.00
With the nearest neighbours (Å) after each atom.
Atoms (fractional coordinates):
Ca (0.2500, 0.2500, 0.1557)  4 Ca 3.04
Ca (0.7500, 0.7500, 0.8443)  4 Ca 3.04
Ta (0.2500, 0.2500, 0.5958)  8 Ta 2.98-3.04
Ta (0.7500, 0.7500, 0.4042)  8 Ta 2.98-3.04

Results
- crystal system = tetragonal
- ΔE to the lowest computed polymorph (meV per atom) = 282
- size of the total moment (μB per cell) = 0.00
- ΔH_f (0 K) (eV per atom) = 0.639
- total DFT energy (no corrections) (eV/cell) = -25.15

(4)
A plane-wave DFT calculation with GGA-PBE was carried out for an optimized crystal structure of Ac5Zn5Ru2.

Lattice parameters (Å, degrees): 8.4913 8.4913 11.9163 128.81 128.81 30.41
With the nearest neighbours (Å) after each atom.
Atoms (fractional coordinates):
Ac (0.0000, 0.0000, 0.0000)  4 Ru 3.28, 6 Zn 3.29-3.43
Ac (0.2995, 0.2995, 0.4166)  3 Ru 3.04-3.28, 5 Zn 3.24-3.26
Ac (0.3840, 0.3840, 0.1848)  1 Ru 3.13, 5 Zn 3.17-3.50
Ac (0.6160, 0.6160, 0.8152)  1 Ru 3.13, 5 Zn 3.17-3.50
Ac (0.7005, 0.7005, 0.5834)  3 Ru 3.04-3.28, 5 Zn 3.24-3.26
Zn (0.0000, 0.0000, 0.5000)  2 Zn 2.88
Zn (0.0639, 0.0639, 0.3249)  2 Ru 2.58, 1 Zn 2.88
Zn (0.2920, 0.2920, 0.8412)  1 Ru 2.64
Zn (0.7080, 0.7080, 0.1588)  1 Ru 2.64
Zn (0.9361, 0.9361, 0.6751)  2 Ru 2.58, 1 Zn 2.88
Ru (0.3924, 0.3924, 0.7356)  3 Zn 2.58-2.64
Ru (0.6076, 0.6076, 0.2644)  3 Zn 2.58-2.64

Results
- crystal system = monoclinic
- size of the total moment (μB per cell) = 0.00
- ΔH_f (0 K) (eV per atom) = -0.229
- total DFT energy (no corrections) (eV/cell) = -48.21

Q: size of the total moment of number 1 (K2ScAgI6)?
A: 0.00 μB per cell

Q: Which of these has the highest total DFT energy (no corrections)?
A: CaTa

Q: Which of these has the highest size of the total moment?
A: NpCdRh4